Ce6PSe3S2 | PBE-GGA | optimized geometry

Cell lengths 7.1152, 7.1152, 7.1876 Å; angles 99.50, 99.50, 120.01 degrees
Each line ends with the local moment (μB).
Fractional positions:
Se 0.8338 0.1662 0.5000  -0.02
S 0.6668 0.3332 0.0000  -0.02
Ce 0.4107 0.0781 0.2341  0.65
Se 0.5000 0.5000 0.5000  -0.02
Ce 0.2548 0.2548 0.7663  0.65
Se 0.1662 0.8338 0.5000  -0.02
Ce 0.5893 0.9219 0.7659  0.65
S 0.3332 0.6668 0.0000  -0.02
Ce 0.0781 0.4107 0.2341  0.65
Ce 0.7452 0.7452 0.2337  0.65
Ce 0.9219 0.5893 0.7659  0.65
P 0.0000 0.0000 0.0000  -0.02

Calculated values
Magnetization in μB per atom: 0.3747
Electronic total energy in eV per atom: -6.83
Formation energy from raw total energies in kJ per mole of atoms: -179.1

=====

MnAg3 | PBE-GGA | optimized geometry

Cell lengths 4.6134, 4.6134, 4.6134 Å; angles 60.00, 60.00, 60.00 degrees
Each line ends with the local moment (μB).
Fractional positions:
Ag 0.5000 0.5000 0.5000  0.02
Ag 0.7500 0.7500 0.7500  -0.01
Ag 0.0000 0.0000 0.0000  0.02
Mn 0.2500 0.2500 0.2500  4.00

Calculated values
Magnetization in μB per atom: 1.0368
DFT formation energy in meV/atom: 207
Electronic total energy in eV per atom: -4.22

=====

ScAlCo | PBE-GGA | optimized geometry

Cell lengths 5.6475, 5.6471, 2.9734 Å; angles 74.74, 74.73, 30.53 degrees
Each line ends with the local moment (μB).
Fractional positions:
Al 0.9702 0.9702 0.0298  0.00
Co 0.3457 0.3457 0.6543  0.06
Sc 0.6841 0.6841 0.3159  -0.01

Calculated values
Magnetization in μB per atom: 0.0142
DFT formation energy in meV/atom: -437
Electronic total energy in eV per atom: -6.16

=====

Tb8Sm4Tm | PBE-GGA | optimized geometry

Cell lengths 11.0236, 11.0236, 7.7832 Å; angles 90.00, 135.09, 120.00 degrees
Each line ends with the local moment (μB).
Fractional positions:
Tb 0.4799 0.2400 0.2382  0.03
Tm 0.0000 0.5000 0.5000  0.02
Sm 0.5000 0.0000 0.0000  0.06
Tb 0.0017 0.2417 0.7618  0.03
Tb 0.9983 0.7583 0.2382  0.03
Tb 0.9983 0.2400 0.2382  0.03
Sm 0.0000 0.0000 0.0000  -0.02
Tb 0.0017 0.7600 0.7618  0.03
Sm 0.0000 0.5000 0.0000  0.06
Tb 0.5200 0.7600 0.2800  0.03
Tb 0.5201 0.7600 0.7618  0.03
Tb 0.4800 0.2400 0.7200  0.03
Sm 0.5000 0.5000 0.0000  0.06

Calculated values
Magnetization in μB per atom: 0.0439
DFT formation energy in meV/atom: 502
Electronic total energy in eV per atom: -4.14